This record from Alexandria via LeMat-Bulk describes a relaxed structure of Cd2CoNO. The functional is GGA+U.

Structure (CIF):
```
data_Cd2CoNO
_chemical_formula_sum 'Cd2 Co1 N1 O1'
_cell_length_a 5.046
_cell_length_b 5.046
_cell_length_c 3.432
_cell_angle_alpha 90.00
_cell_angle_beta 90.00
_cell_angle_gamma 90.00
_symmetry_space_group_name_H-M 'P 1'
_symmetry_Int_Tables_number 1
loop_
_symmetry_equiv_pos_as_xyz
'x,y,z'
loop_
_atom_site_label
_atom_site_fract_x
_atom_site_fract_y
_atom_site_fract_z
Cd1 0.000 0.500 0.000
Cd2 0.500 0.000 0.000
Co1 0.000 0.000 0.000
N1 0.500 0.500 0.500
O1 0.000 0.000 0.500
```

Values from the calculation:
ΔE to the lowest computed polymorph	0.3810	eV/atom
theoretical density	5.96	g/cm³
space group	P4/mmm